Record 1
The following is a DFT calculation (PBE) of a relaxed La6GePd2Br3 crystal. Values from VASP.

Results
- space group = C2/m, No. 12

Structure (Quantum ESPRESSO input):
```
&SYSTEM
  ibrav = 0, nat = 12, ntyp = 4
/
ATOMIC_SPECIES
La 138.91 La.upf
Ge 72.64 Ge.upf
Pd 106.42 Pd.upf
Br 79.90 Br.upf
CELL_PARAMETERS angstrom
7.541 -0.004 -0.004
-3.772 6.529 -0.004
-1.260 -2.181 7.356
ATOMIC_POSITIONS crystal
La 0.925 0.588 0.777
La 0.737 0.737 0.221
La 0.075 0.412 0.223
La 0.588 0.925 0.777
La 0.263 0.263 0.779
La 0.412 0.075 0.223
Ge 0.000 0.000 0.000
Pd 0.332 0.668 0.000
Pd 0.668 0.332 0.000
Br 0.161 0.839 0.500
Br 0.839 0.161 0.500
Br 0.500 0.500 0.500
```


Record 2
The following is a DFT calculation (PBE) of a relaxed La6Ge2PdBr3 crystal. Values from VASP.

Results
- space group = C2/m, No. 12

Structure (Quantum ESPRESSO input):
```
&SYSTEM
  ibrav = 0, nat = 12, ntyp = 4
/
ATOMIC_SPECIES
La 138.91 La.upf
Ge 72.64 Ge.upf
Pd 106.42 Pd.upf
Br 79.90 Br.upf
CELL_PARAMETERS angstrom
4.350 0.000 0.000
0.000 8.970 0.373
-2.175 -2.526 9.270
ATOMIC_POSITIONS crystal
La 0.339 0.899 0.678
La 0.673 0.569 0.345
La 0.661 0.101 0.322
La 0.006 0.230 0.012
La 0.994 0.770 0.988
La 0.327 0.431 0.655
Ge 0.834 0.665 0.669
Ge 0.166 0.335 0.331
Pd 0.500 0.000 0.000
Br 0.500 0.500 0.000
Br 0.831 0.166 0.662
Br 0.169 0.834 0.338
```


Record 3
The following is a DFT calculation (PBE) of a relaxed LaPmGeBr crystal. Values from VASP.

Results
- space group = Amm2, No. 38
- E above lowest polymorph (meV/atom) = 91

Structure (Quantum ESPRESSO input):
```
&SYSTEM
  ibrav = 0, nat = 4, ntyp = 4
/
ATOMIC_SPECIES
La 138.91 La.upf
Pm 145.00 Pm.upf
Ge 72.64 Ge.upf
Br 79.90 Br.upf
CELL_PARAMETERS angstrom
-4.584 -0.793 2.179
4.133 -2.601 1.692
1.130 4.379 3.971
ATOMIC_POSITIONS crystal
La 0.169 0.338 0.500
Pm 0.837 0.674 0.000
Ge 0.169 0.338 0.000
Br 0.837 0.675 0.500
```


Record 4
The following is a DFT calculation (PBE) of a relaxed LaPmGeBr crystal. Values from VASP.

Results
- space group = F-43m, No. 216
- E above lowest polymorph (meV/atom) = 0

Structure (Quantum ESPRESSO input):
```
&SYSTEM
  ibrav = 0, nat = 4, ntyp = 4
/
ATOMIC_SPECIES
Ge 72.64 Ge.upf
La 138.91 La.upf
Br 79.90 Br.upf
Pm 145.00 Pm.upf
CELL_PARAMETERS angstrom
-1.431 -2.756 4.283
-0.963 -5.187 -0.393
3.354 -3.483 2.146
ATOMIC_POSITIONS crystal
Ge 0.750 0.750 0.750
La 0.500 0.500 0.500
Br 0.250 0.250 0.250
Pm 0.000 0.000 0.000
```


Record 5
The following is a DFT calculation (PBE) of a relaxed La8GePt3Br4 crystal. Values from VASP.

Results
- space group = R-3m, No. 166

Structure (Quantum ESPRESSO input):
```
&SYSTEM
  ibrav = 0, nat = 16, ntyp = 4
/
ATOMIC_SPECIES
La 138.91 La.upf
Ge 72.64 Ge.upf
Pt 195.08 Pt.upf
Br 79.90 Br.upf
CELL_PARAMETERS angstrom
8.663 0.000 0.000
0.000 9.154 0.339
-4.332 -4.333 6.131
ATOMIC_POSITIONS crystal
La 0.240 0.708 0.969
La 0.240 0.708 0.479
La 0.266 0.298 0.532
La 0.729 0.708 0.969
La 0.271 0.292 0.031
La 0.734 0.702 0.468
La 0.760 0.292 0.521
La 0.760 0.292 0.031
Ge 0.000 0.500 0.000
Pt 0.500 0.500 0.000
Pt 0.500 0.500 0.500
Pt 0.000 0.500 0.500
Br 0.500 0.000 0.000
Br 0.500 0.000 0.500
Br 0.000 0.000 0.000
Br 0.000 0.000 0.500
```


Record 6
The following is a DFT calculation (PBE) of a relaxed La6Ge2PtBr3 crystal. Values from VASP.

Results
- space group = C2/m, No. 12

Structure (Quantum ESPRESSO input):
```
&SYSTEM
  ibrav = 0, nat = 12, ntyp = 4
/
ATOMIC_SPECIES
La 138.91 La.upf
Ge 72.64 Ge.upf
Pt 195.08 Pt.upf
Br 79.90 Br.upf
CELL_PARAMETERS angstrom
-4.060 -0.718 -1.298
-2.580 -0.963 8.601
0.867 9.829 -0.951
ATOMIC_POSITIONS crystal
La 0.339 0.901 0.678
La 0.673 0.568 0.346
La 0.661 0.099 0.322
La 0.006 0.222 0.012
La 0.994 0.778 0.988
La 0.327 0.432 0.654
Ge 0.834 0.666 0.667
Ge 0.166 0.334 0.333
Pt 0.500 0.000 0.000
Br 0.500 0.500 0.000
Br 0.831 0.168 0.663
Br 0.169 0.832 0.337
```


Theoretical density (computed, kg/m³): 6233, 6013, 5227, 6923, 6952, 6382
Spin magnetization (computed, μB/f.u.): 0.00, 0.00, 0.00, 0.00, 0.00, 0.00
Uncorrected formation energy (computed, eV per atom): -1.091, -1.159, -0.880, -0.971, -1.276, -1.244